The following is a DFT calculation (PBE) of an optimized crystal structure of BaTa2Pt.

- Space-group type: P4/mmm, No. 123
- DOS at the Fermi energy: 5.2 states/eV per cell
- Polymorph energy (0 for the lowest one): 0.340 eV per atom
- Electronic total energy: -7.446 eV per atom
- Energy of formation from the pure elements: 472 meV per atom
- Size of the total moment: 0.000 μB/f.u.

a = 2.9799 Å, b = 2.9799 Å, c = 10.0203 Å
α = 90.00°, β = 90.00°, γ = 90.00°
Last column: nearest neighbours and their distance in Å.
Fractional coordinates of all 4 atoms:
Ba1 0.0000 0.0000 0.0000  4 Ba 2.98
Ta1 0.5000 0.5000 0.3093  4 Pt 2.84, 4 Ta 2.98
Ta2 0.5000 0.5000 0.6907  4 Pt 2.84, 4 Ta 2.98
Pt1 0.0000 0.0000 0.5000  8 Ta 2.84, 4 Pt 2.98

***

The following is a DFT calculation (PBE) of an optimized crystal structure of NaH3Ir.

- Space-group type: Pm-3m, No. 221
- DOS at the Fermi energy: 2.8 states/eV per cell
- Polymorph energy (0 for the lowest one): 1.399 eV per atom
- Electronic total energy: -2.851 eV per atom
- Size of the total moment: 0.002 μB/f.u.

a = 3.4829 Å, b = 3.4829 Å, c = 3.4829 Å
α = 90.00°, β = 90.00°, γ = 90.00°
Last column: nearest neighbours and their distance in Å.
Fractional coordinates of all 5 atoms:
Na1 0.0000 0.0000 0.0000  6 H 1.74
H1 0.0000 0.0000 0.5000  2 Na 1.74
H2 0.0000 0.5000 0.0000  2 Na 1.74
H3 0.5000 0.0000 0.0000  2 Na 1.74
Ir1 0.5000 0.5000 0.5000  12 H 2.46

***

The following is a DFT calculation (PBE) of an optimized crystal structure of Ac5La4Tb.

- Space-group type: P4/mmm, No. 123
- DOS at the Fermi energy: 20.0 states/eV per cell
- Electronic total energy: -4.458 eV per atom
- Energy of formation from the pure elements: 30 meV per atom
- Size of the total moment: 0.000 μB/f.u.

a = 3.8798 Å, b = 3.8798 Å, c = 26.7772 Å
α = 90.00°, β = 90.00°, γ = 90.00°
Last column: nearest neighbours and their distance in Å.
Fractional coordinates of all 10 atoms:
Ac1 0.0000 0.0000 0.0000  8 La 3.86, 4 Ac 3.88
Ac2 0.0000 0.0000 0.2027  8 La 3.86-3.87, 4 Ac 3.88
Ac3 0.0000 0.0000 0.4050  4 Tb 3.74, 4 La 3.84, 4 Ac 3.88
Ac4 0.0000 0.0000 0.5950  4 Tb 3.74, 4 La 3.84, 4 Ac 3.88
Ac5 0.0000 0.0000 0.7973  8 La 3.86-3.87, 4 Ac 3.88
La1 0.5000 0.5000 0.1014  8 Ac 3.86, 4 La 3.88
La2 0.5000 0.5000 0.3047  8 Ac 3.84-3.87, 4 La 3.88
La3 0.5000 0.5000 0.6953  8 Ac 3.84-3.87, 4 La 3.88
La4 0.5000 0.5000 0.8986  8 Ac 3.86, 4 La 3.88
Tb1 0.5000 0.5000 0.5000  8 Ac 3.74, 4 Tb 3.88

***

The following is a DFT calculation (PBE) of an optimized crystal structure of Sr2MnSiCl.

- Space-group type: P4/mmm, No. 123
- DOS at the Fermi energy: 0.9 states/eV per cell
- Uncorrected formation energy: -431 meV per atom
- Electronic total energy: -4.392 eV per atom
- Size of the total moment: 3.894 μB/f.u.

a = 6.0997 Å, b = 6.0997 Å, c = 4.5552 Å
α = 90.00°, β = 90.00°, γ = 90.00°
Last column: nearest neighbours and their distance in Å.
Fractional coordinates of all 5 atoms:
Sr1 0.0000 0.5000 0.0000  2 Si 3.05
Sr2 0.5000 0.0000 0.0000  2 Si 3.05
Mn1 0.0000 0.0000 0.5000  2 Si 2.28
Si1 0.0000 0.0000 0.0000  2 Mn 2.28
Cl1 0.5000 0.5000 0.5000  8 Sr 3.81

***

The following is a DFT calculation (PBE) of an optimized crystal structure of LaCu4Pt4.

- Space-group type: P4_2/n, No. 86
- DOS at the Fermi energy: 10.1 states/eV per cell
- Electronic total energy: -5.270 eV per atom
- Energy of formation from the pure elements: -218 meV per atom
- Size of the total moment: 0.000 μB/f.u.

a = 8.2982 Å, b = 8.2982 Å, c = 4.6076 Å
α = 90.00°, β = 90.00°, γ = 90.00°
Last column: nearest neighbours and their distance in Å.
Fractional coordinates of all 18 atoms:
La1 0.2500 0.2500 0.2500  4 Pt 3.11, 8 Cu 3.34-3.41
La2 0.7500 0.7500 0.7500  4 Pt 3.11, 8 Cu 3.34-3.41
Cu1 0.0084 0.8966 0.2386  5 Pt 2.47-2.70
Cu2 0.1034 0.5084 0.7386  5 Pt 2.47-2.70
Cu3 0.3966 0.9916 0.7386  5 Pt 2.47-2.70
Cu4 0.4916 0.6034 0.2386  5 Pt 2.47-2.70
Cu5 0.5084 0.3966 0.7614  5 Pt 2.47-2.70
Cu6 0.6034 0.0084 0.2614  5 Pt 2.47-2.70
Cu7 0.8966 0.4916 0.2614  5 Pt 2.47-2.70
Cu8 0.9916 0.1034 0.7614  5 Pt 2.47-2.70
Pt1 0.1151 0.8334 0.7375  5 Cu 2.47-2.70, 1 Pt 2.63
Pt2 0.1666 0.6151 0.2375  5 Cu 2.47-2.70, 1 Pt 2.63
Pt3 0.3334 0.8849 0.2375  5 Cu 2.47-2.70, 1 Pt 2.63
Pt4 0.3849 0.6666 0.7375  5 Cu 2.47-2.70, 1 Pt 2.63
Pt5 0.6151 0.3334 0.2625  5 Cu 2.47-2.70, 1 Pt 2.63
Pt6 0.6666 0.1151 0.7625  5 Cu 2.47-2.70, 1 Pt 2.63
Pt7 0.8334 0.3849 0.7625  5 Cu 2.47-2.70, 1 Pt 2.63
Pt8 0.8849 0.1666 0.2625  5 Cu 2.47-2.70, 1 Pt 2.63

***

The following is a DFT calculation (PBE) of an optimized crystal structure of PmNd4Se6.

- Space-group type: Cmcm, No. 63
- DOS at the Fermi energy: 5.7 states/eV per cell
- Uncorrected formation energy: -1858 meV per atom
- Electronic total energy: -5.924 eV per atom
- Size of the total moment: 0.000 μB/f.u.

a = 7.2489 Å, b = 7.2489 Å, c = 21.3715 Å
α = 90.00°, β = 90.00°, γ = 146.95°
Last column: nearest neighbours and their distance in Å.
Fractional coordinates of all 22 atoms:
Pm1 0.1547 0.8453 0.7500  6 Se 2.96-3.04
Pm2 0.8453 0.1547 0.2500  6 Se 2.96-3.04
Nd1 0.0886 0.9114 0.1283  6 Se 2.96-3.01
Nd2 0.0886 0.9114 0.3717  6 Se 2.96-3.01
Nd3 0.3590 0.6410 0.0392  6 Se 2.95-3.06
Nd4 0.3590 0.6410 0.4608  6 Se 2.95-3.06
Nd5 0.6410 0.3590 0.5392  6 Se 2.95-3.06
Nd6 0.6410 0.3590 0.9608  6 Se 2.95-3.06
Nd7 0.9114 0.0886 0.6283  6 Se 2.96-3.01
Nd8 0.9114 0.0886 0.8717  6 Se 2.96-3.01
Se1 0.0000 0.0000 0.0000  6 Nd 2.97-3.01
Se2 0.0000 0.0000 0.5000  6 Nd 2.97-3.01
Se3 0.1926 0.8074 0.2500  2 Pm 2.96, 2 Nd 2.98
Se4 0.2697 0.7303 0.5918  5 Nd 2.95-3.06
Se5 0.2697 0.7303 0.9082  5 Nd 2.95-3.06
Se6 0.4454 0.5546 0.1685  3 Nd 2.99-3.01, 2 Pm 3.04
Se7 0.4454 0.5546 0.3315  3 Nd 2.99-3.01, 2 Pm 3.04
Se8 0.5546 0.4454 0.6685  3 Nd 2.99-3.01, 2 Pm 3.04
Se9 0.5546 0.4454 0.8315  3 Nd 2.99-3.01, 2 Pm 3.04
Se10 0.7303 0.2697 0.0918  5 Nd 2.95-3.06
Se11 0.7303 0.2697 0.4082  5 Nd 2.95-3.06
Se12 0.8074 0.1926 0.7500  2 Pm 2.96, 2 Nd 2.98

***

The following is a DFT calculation (PBE) of an optimized crystal structure of Na7Tl3In.

- Space-group type: P3m1, No. 156
- DOS at the Fermi energy: 5.8 states/eV per cell
- Polymorph energy (0 for the lowest one): 0.047 eV per atom
- Electronic total energy: -1.757 eV per atom
- Energy of formation from the pure elements: -23 meV per atom
- Size of the total moment: 0.000 μB/f.u.

a = 7.0385 Å, b = 7.0385 Å, c = 8.1878 Å
α = 90.00°, β = 90.00°, γ = 120.00°
Last column: nearest neighbours and their distance in Å.
Fractional coordinates of all 11 atoms:
Na1 0.0000 0.0000 0.0000  3 Tl 3.30, 6 Na 3.52
Na2 0.1682 0.3364 0.6193  2 Tl 3.26, 6 Na 3.49-3.64, 2 In 3.52
Na3 0.1682 0.8318 0.6193  2 Tl 3.26, 6 Na 3.49-3.64, 2 In 3.52
Na4 0.5017 0.0034 0.9881  2 Tl 3.32, 1 In 3.47, 8 Na 3.48-3.64
Na5 0.5017 0.4983 0.9881  2 Tl 3.32, 1 In 3.47, 8 Na 3.48-3.64
Na6 0.6636 0.8318 0.6193  2 Tl 3.26, 6 Na 3.49-3.64, 2 In 3.52
Na7 0.9966 0.4983 0.9881  2 Tl 3.32, 1 In 3.47, 8 Na 3.48-3.64
Tl1 0.3430 0.1715 0.3118  5 Na 3.26-3.32, 1 In 3.35, 4 Tl 3.42-3.62
Tl2 0.8285 0.1715 0.3118  5 Na 3.26-3.32, 1 In 3.35, 4 Tl 3.42-3.62
Tl3 0.8285 0.6570 0.3118  5 Na 3.26-3.32, 1 In 3.35, 4 Tl 3.42-3.62
In1 0.6667 0.3333 0.6426  3 Tl 3.35, 9 Na 3.47-3.52

***

The following is a DFT calculation (PBE) of an optimized crystal structure of TlBi2Br7.

- Space-group type: Cmmm, No. 65
- Uncorrected formation energy: -679 meV per atom
- Electronic total energy: -2.863 eV per atom
- Size of the total moment: 0.000 μB/f.u.

a = 8.5988 Å, b = 8.5988 Å, c = 5.7055 Å
α = 90.00°, β = 90.00°, γ = 114.52°
Last column: nearest neighbours and their distance in Å.
Fractional coordinates of all 10 atoms:
Tl1 0.0000 0.0000 0.0000  10 Br 3.86-3.88
Bi1 0.2940 0.7060 0.5000  7 Br 2.88-3.09
Bi2 0.7060 0.2940 0.5000  7 Br 2.88-3.09
Br1 0.0545 0.3210 0.5000  2 Bi 2.91-3.09
Br2 0.2681 0.7319 0.0000  2 Bi 2.88
Br3 0.3210 0.0545 0.5000  2 Bi 2.91-3.09
Br4 0.5000 0.5000 0.5000  2 Bi 2.98
Br5 0.6790 0.9455 0.5000  2 Bi 2.91-3.09
Br6 0.7319 0.2681 0.0000  2 Bi 2.88
Br7 0.9455 0.6790 0.5000  2 Bi 2.91-3.09

***

Question: What is the electronic total energy in the eighth record?
Answer: -2.863 eV per atom

***

Question: Number 5 is which compound?
Answer: LaCu4Pt4